1.
The following is a DFT calculation (PBE) of a relaxed structure of Pm6CN3.

Energy above the lowest structure with this stoichiometry   0.012 eV per atom
ΔE_f (raw)   -7.7 eV per formula unit
SG   P2_1/m, No. 11
Crystal system   monoclinic
Total DFT energy (no corrections)   -7.038 eV/atom

Cell and atoms, written as extended XYZ:
```
20
Lattice="-2.000 1.957 -2.285 -9.203 -8.285 0.961 -0.339 7.666 6.863" Properties=species:S:1:pos:R:3 pbc="T T T"
N -2.668 1.314 -0.823
Pm -1.473 6.854 5.733
N -8.875 0.024 6.362
Pm -6.060 2.784 6.261
Pm -5.394 2.680 2.734
N -8.494 -0.952 2.336
N -5.860 -3.074 1.069
Pm -5.483 -1.446 -0.722
Pm -2.443 4.134 1.396
Pm -3.059 4.174 4.825
C -2.466 6.138 3.133
Pm -2.747 0.547 1.445
N -3.049 2.290 3.203
Pm -8.483 -2.836 0.714
Pm -6.149 -1.343 2.805
Pm -9.099 -2.796 4.143
N -5.683 4.412 4.470
C -9.076 -4.801 2.406
Pm -8.796 0.791 4.094
Pm -10.069 -5.517 -0.194
```

***

2.
The following is a DFT calculation (PBE) of a relaxed structure of Tb5Pr2Sm3.

Energy above the lowest structure with this stoichiometry   0.200 eV per atom
SG   Ibam, No. 72
DFT formation energy   0.38 eV per atom
Crystal system   orthorhombic
Total DFT energy (no corrections)   -4.303 eV/atom

Cell and atoms, written as extended XYZ:
```
20
Lattice="-3.739 -5.217 2.503 -2.451 -7.426 -9.658 5.034 -10.377 -4.627" Properties=species:S:1:pos:R:3 pbc="T T T"
Tb 1.930 -13.336 -10.693
Tb -0.707 -10.199 -3.353
Sm -3.497 -14.998 -8.040
Sm -2.804 -3.913 1.877
Tb -1.512 -12.814 -5.265
Tb -0.998 -15.949 -6.292
Tb -0.157 -7.071 -5.490
Pr -0.852 -18.526 -11.442
Tb 0.357 -10.206 -6.517
Pr -0.303 -4.494 -0.340
Tb 0.060 -15.944 -9.441
Sm 2.341 -8.022 -3.742
Sm -0.935 -1.304 0.626
Sm -3.247 -9.164 -4.990
Tb -3.085 -9.684 -1.090
Sm 2.092 -13.855 -6.792
Tb -0.448 -12.821 -8.430
Tb -1.215 -7.075 -2.341
Pr 2.560 -16.525 -11.657
Pr -3.716 -6.495 -0.125
```

***

3.
The following is a DFT calculation (PBE) of a relaxed structure of CsHfO2F.

ΔE_f (raw)   2.1 eV per formula unit
SG   P4/mmm, No. 123
Crystal system   tetragonal
Total DFT energy (no corrections)   -4.101 eV/atom

Cell and atoms, written as extended XYZ:
```
5
Lattice="4.491 0.000 0.000 0.000 4.491 0.000 0.000 0.000 5.069" Properties=species:S:1:pos:R:3 pbc="T T T"
Cs 0.000 0.000 0.000
O 2.246 0.000 0.000
O 0.000 2.246 0.000
Hf 2.246 2.246 2.535
F 0.000 0.000 2.535
```